(1)
Density functional theory data (PBE) for crystalline GeAsSBr2 at its relaxed geometry.

Output
The value obtained for the formation energy without anion corrections is 0.62 eV per atom. As for the space group: P4/mmm (123). The electronic total energy comes out at -2.73 eV/atom.

Geometry as POSCAR:
```
GeAsSBr2
1.0
5.067 0.000 0.000
0.000 5.067 0.000
0.000 0.000 5.036
S As Ge Br
1 1 1 2
Direct
0.000 0.000 0.000
0.000 0.000 0.500
0.500 0.500 0.500
0.000 0.500 0.000
0.500 0.000 0.000
```

---

(2)
Density functional theory data (PBE) for crystalline GeAsSBr2 at its relaxed geometry.

Output
The value obtained for the formation energy without anion corrections is 0.64 eV per atom. As for the space group: P4/mmm (123). The electronic total energy comes out at -2.71 eV/atom.

Geometry as POSCAR:
```
GeAsSBr2
1.0
-0.917 -4.364 -2.219
4.892 -0.726 -0.593
0.216 -2.523 4.873
S As Ge Br
1 1 1 2
Direct
0.500 0.500 0.500
0.000 0.000 0.500
0.000 0.000 0.000
0.000 0.500 0.000
0.500 0.000 0.000
```

---

(3)
Density functional theory data (PBE) for crystalline GeSbAsBr2 at its relaxed geometry.

Output
The value obtained for the formation energy without anion corrections is 0.33 eV per atom. As for the space group: P4/mmm (123). The electronic total energy comes out at -3.01 eV/atom.

Geometry as POSCAR:
```
GeSbAsBr2
1.0
5.106 0.000 0.000
0.000 5.397 0.000
0.000 0.000 5.106
Sb As Ge Br
1 1 1 2
Direct
0.500 0.500 0.500
0.000 0.500 0.000
0.000 0.000 0.000
0.000 0.000 0.500
0.500 0.000 0.000
```

---

(4)
Density functional theory data (PBE) for crystalline GeSbAsBr2 at its relaxed geometry.

Output
The value obtained for the formation energy without anion corrections is 0.49 eV per atom. As for the space group: P4/mmm (123). The electronic total energy comes out at -2.86 eV/atom.

Geometry as POSCAR:
```
GeSbAsBr2
1.0
-4.404 -3.236 0.022
3.236 -4.403 0.020
0.005 0.030 5.528
Sb As Ge Br
1 1 1 2
Direct
0.000 0.000 0.000
0.000 0.000 0.500
0.500 0.500 0.500
0.000 0.500 0.000
0.500 0.000 0.000
```

---

(5)
Density functional theory data (PBE) for crystalline GeAs2SeBr at its relaxed geometry.

Output
The value obtained for the formation energy without anion corrections is 0.70 eV per atom. As for the space group: P4/mmm (123). The electronic total energy comes out at -3.11 eV/atom.

Geometry as POSCAR:
```
GeAs2SeBr
1.0
5.101 0.000 0.000
0.000 5.101 0.000
0.000 0.000 4.943
As Ge Se Br
2 1 1 1
Direct
0.000 0.500 0.000
0.500 0.000 0.000
0.000 0.000 0.000
0.500 0.500 0.500
0.000 0.000 0.500
```

---

(6)
Density functional theory data (PBE) for crystalline GeAsSeBr2 at its relaxed geometry.

Output
The value obtained for the formation energy without anion corrections is 0.29 eV per atom. As for the space group: P4/mmm (123). The electronic total energy comes out at -2.93 eV/atom.

Geometry as POSCAR:
```
GeAsSeBr2
1.0
-2.656 -1.573 4.151
4.133 -2.641 1.644
1.661 4.268 2.680
As Ge Se Br
1 1 1 2
Direct
0.000 0.000 0.000
0.500 0.500 0.500
0.000 0.000 0.500
0.000 0.500 0.000
0.500 0.000 0.000
```

---

(7)
Density functional theory data (PBE) for crystalline GeAsSeBr2 at its relaxed geometry.

Output
The value obtained for the formation energy without anion corrections is 0.46 eV per atom. As for the space group: P4/mmm (123). The electronic total energy comes out at -2.76 eV/atom.

Geometry as POSCAR:
```
GeAsSeBr2
1.0
-2.401 4.236 -1.522
-2.141 0.443 4.610
4.254 3.017 1.686
As Ge Se Br
1 1 1 2
Direct
0.000 0.000 0.500
0.000 0.000 0.000
0.500 0.500 0.500
0.000 0.500 0.000
0.500 0.000 0.000
```

---

(8)
Density functional theory data (PBE) for crystalline Ge2AsSeBr at its relaxed geometry.

Output
The value obtained for the formation energy without anion corrections is 0.54 eV per atom. As for the space group: P4/mmm (123). The electronic total energy comes out at -3.26 eV/atom.

Geometry as POSCAR:
```
Ge2AsSeBr
1.0
-4.820 1.025 -1.755
1.627 -0.413 -4.712
-1.111 -5.111 0.065
As Ge Se Br
1 2 1 1
Direct
0.000 0.000 0.000
0.000 0.000 0.500
0.500 0.000 0.000
0.500 0.500 0.500
0.000 0.500 0.000
```

---

(9)
Density functional theory data (PBE) for crystalline GeAs2SeBr at its relaxed geometry.

Output
The value obtained for the formation energy without anion corrections is 0.67 eV per atom. As for the space group: P4/mmm (123). The electronic total energy comes out at -3.14 eV/atom.

Geometry as POSCAR:
```
GeAs2SeBr
1.0
-2.003 0.807 4.619
4.548 -0.888 2.127
1.099 4.771 -0.357
As Ge Se Br
2 1 1 1
Direct
0.000 0.500 0.000
0.500 0.000 0.000
0.000 0.000 0.000
0.000 0.000 0.500
0.500 0.500 0.500
```

---

(10)
Density functional theory data (PBE) for crystalline SiGeAs2Br at its relaxed geometry.

Output
The value obtained for the formation energy without anion corrections is 0.61 eV per atom. As for the space group: P4/mmm (123). The electronic total energy comes out at -3.59 eV/atom.

Geometry as POSCAR:
```
SiGeAs2Br
1.0
4.864 0.000 0.000
0.000 4.864 0.000
0.000 0.000 4.978
As Si Ge Br
2 1 1 1
Direct
0.000 0.500 0.000
0.500 0.000 0.000
0.000 0.000 0.000
0.500 0.500 0.500
0.000 0.000 0.500
```

---

(11)
Density functional theory data (PBE) for crystalline Sm4GeAs2Br at its relaxed geometry.

Output
The value obtained for the formation energy without anion corrections is -1.34 eV per atom. As for the space group: P2/m (10). The electronic total energy comes out at -5.65 eV/atom.

Geometry as POSCAR:
```
Sm4GeAs2Br
1.0
4.230 0.000 0.000
0.000 7.315 -0.169
0.000 2.552 6.874
Sm Ge As Br
4 1 2 1
Direct
0.000 0.767 0.730
0.000 0.233 0.270
0.500 0.755 0.258
0.500 0.245 0.742
0.000 0.500 0.500
0.000 0.000 0.000
0.500 0.000 0.500
0.500 0.500 0.000
```

---

(12)
Density functional theory data (PBE) for crystalline SnGeAsBr2 at its relaxed geometry.

Output
The value obtained for the formation energy without anion corrections is 0.39 eV per atom. As for the space group: P4/mmm (123). The electronic total energy comes out at -2.93 eV/atom.

Geometry as POSCAR:
```
SnGeAsBr2
1.0
5.437 0.000 0.000
0.000 5.437 0.000
0.000 0.000 5.506
As Ge Sn Br
1 1 1 2
Direct
0.000 0.000 0.500
0.500 0.500 0.500
0.000 0.000 0.000
0.000 0.500 0.000
0.500 0.000 0.000
```

---

| no. | calculated volume (Å³ per cell) |
| --- | --- |
| 1 | 129.3 |
| 2 | 136.3 |
| 3 | 140.7 |
| 4 | 165.1 |
| 5 | 128.6 |
| 6 | 142.0 |
| 7 | 142.7 |
| 8 | 136.9 |
| 9 | 127.6 |
| 10 | 117.8 |
| 11 | 214.5 |
| 12 | 162.8 |